# 1
VASP calculation (PBE+U) on a geometry-optimized FeTeF2 structure.

POSCAR file:
```
FeTeF2
1.0
-3.297 3.297 3.716
3.297 -3.297 3.716
3.297 3.297 -3.716
Fe Te F
2 2 4
Direct
0.000 0.000 0.000
0.750 0.250 0.500
0.250 0.750 0.500
0.500 0.500 0.000
0.375 0.214 0.339
0.786 0.125 0.161
0.875 0.036 0.661
0.964 0.625 0.839
```

Values from the calculation:
Its symmetry is I-42d (122). As for the distance to the lowest polymorph of the same formula: 0 meV per atom.

# 2
VASP calculation (PBE+U) on a geometry-optimized FeTe2F structure.

POSCAR file:
```
FeTe2F
1.0
0.000 3.375 3.375
3.375 0.000 3.375
3.375 3.375 0.000
Fe Te F
1 2 1
Direct
0.000 0.000 0.000
0.250 0.250 0.250
0.750 0.750 0.750
0.500 0.500 0.500
```

Values from the calculation:
Its symmetry is Fm-3m (225). As for the distance to the lowest polymorph of the same formula: 73 meV per atom.

# 3
VASP calculation (PBE+U) on a geometry-optimized FeTe2F structure.

POSCAR file:
```
FeTe2F
1.0
2.030 1.172 7.577
-2.030 1.172 7.577
0.000 -2.344 7.577
Fe Te F
1 2 1
Direct
0.000 0.000 0.000
0.398 0.398 0.398
0.602 0.602 0.602
0.500 0.500 0.500
```

Values from the calculation:
Its symmetry is R-3m (166). As for the distance to the lowest polymorph of the same formula: 0 meV per atom.

# 4
VASP calculation (PBE+U) on a geometry-optimized FeTe3F structure.

POSCAR file:
```
FeTe3F
1.0
5.108 0.000 0.000
0.000 5.108 0.000
0.000 0.000 5.108
Fe Te F
1 3 1
Direct
0.000 0.000 0.000
0.000 0.000 0.500
0.000 0.500 0.000
0.500 0.000 0.000
0.500 0.500 0.500
```

Values from the calculation:
Its symmetry is Pm-3m (221). As for the distance to the lowest polymorph of the same formula: 0 meV per atom.

# 5
VASP calculation (PBE+U) on a geometry-optimized FeTe2F structure.

POSCAR file:
```
FeTe2F
1.0
1.629 0.940 9.571
-1.629 0.940 9.571
0.000 -1.881 9.571
Fe Te F
1 2 1
Direct
0.000 0.000 0.000
0.093 0.093 0.093
0.907 0.907 0.907
0.500 0.500 0.500
```

Values from the calculation:
Its symmetry is R-3m (166). As for the distance to the lowest polymorph of the same formula: 354 meV per atom.

# 6
VASP calculation (PBE+U) on a geometry-optimized FeTe3F structure.

POSCAR file:
```
FeTe3F
1.0
4.941 0.000 0.000
0.000 4.941 0.000
0.000 0.000 4.941
Fe Te F
1 3 1
Direct
0.000 0.000 0.000
0.000 0.500 0.500
0.500 0.000 0.500
0.500 0.500 0.000
0.500 0.500 0.500
```

Values from the calculation:
Its symmetry is Pm-3m (221). As for the distance to the lowest polymorph of the same formula: 53 meV per atom.

# 7
VASP calculation (PBE+U) on a geometry-optimized FeTeF2 structure.

POSCAR file:
```
FeTeF2
1.0
0.000 3.130 3.130
3.130 0.000 3.130
3.130 3.130 0.000
Fe Te F
1 1 2
Direct
0.000 0.000 0.000
0.500 0.500 0.500
0.250 0.250 0.250
0.750 0.750 0.750
```

Values from the calculation:
Its symmetry is Fm-3m (225). As for the distance to the lowest polymorph of the same formula: 680 meV per atom.

# 8
VASP calculation (PBE+U) on a geometry-optimized FeTeF6 structure.

POSCAR file:
```
FeTeF6
1.0
2.664 -4.466 0.000
2.664 4.466 0.000
-1.109 0.000 5.216
Fe Te F
1 1 6
Direct
0.000 0.000 0.000
0.500 0.500 0.500
0.107 0.401 0.257
0.248 0.248 0.755
0.401 0.107 0.257
0.599 0.893 0.743
0.752 0.752 0.245
0.893 0.599 0.743
```

Values from the calculation:
Its symmetry is C2/m (12). The value obtained for the total energy is -37.3 eV/cell.

# 9
VASP calculation (PBE+U) on a geometry-optimized Fe2Te2F structure.

POSCAR file:
```
Fe2Te2F
1.0
-2.741 2.741 4.719
2.741 -2.741 4.719
2.741 2.741 -4.719
Fe Te F
2 2 1
Direct
0.203 0.203 0.000
0.797 0.797 0.000
0.250 0.750 0.500
0.750 0.250 0.500
0.000 0.000 0.000
```

Values from the calculation:
Its symmetry is I4/mmm (139). As for the distance to the lowest polymorph of the same formula: 0 meV per atom.

# 10
VASP calculation (PBE+U) on a geometry-optimized FeTe2F structure.

POSCAR file:
```
FeTe2F
1.0
-2.954 2.954 6.376
2.954 -2.954 6.376
2.954 2.954 -6.376
Fe Te F
2 4 2
Direct
0.000 0.000 0.000
0.750 0.250 0.500
0.117 0.625 0.992
0.375 0.367 0.492
0.633 0.125 0.008
0.875 0.883 0.508
0.250 0.750 0.500
0.500 0.500 0.000
```

Values from the calculation:
Its symmetry is I-42d (122). As for the distance to the lowest polymorph of the same formula: 319 meV per atom.

# 11
VASP calculation (PBE+U) on a geometry-optimized TlFeTe2F structure.

POSCAR file:
```
TlFeTe2F
1.0
5.734 0.000 0.000
0.000 5.734 0.000
0.000 0.000 3.881
Tl Fe Te F
1 1 2 1
Direct
0.000 0.000 0.000
0.500 0.500 0.500
0.000 0.500 0.500
0.500 0.000 0.500
0.500 0.500 0.000
```

Values from the calculation:
Its symmetry is P4/mmm (123). As for the distance to the lowest polymorph of the same formula: 0 meV per atom.

# 12
VASP calculation (PBE+U) on a geometry-optimized TlFeTe2F structure.

POSCAR file:
```
TlFeTe2F
1.0
5.760 0.000 0.000
0.000 5.760 0.000
0.000 0.000 4.483
Tl Fe Te F
1 1 2 1
Direct
0.000 0.000 0.000
0.500 0.500 0.500
0.000 0.500 0.000
0.500 0.000 0.000
0.000 0.000 0.500
```

Values from the calculation:
Its symmetry is P4/mmm (123). As for the distance to the lowest polymorph of the same formula: 537 meV per atom.

# 13
VASP calculation (PBE+U) on a geometry-optimized ThFe2F11 structure.

POSCAR file:
```
ThFe2F11
1.0
-3.760 5.347 5.410
3.760 -5.347 5.410
3.760 5.347 -5.410
Th Fe F
2 4 22
Direct
0.250 0.250 0.000
0.750 0.750 0.000
0.249 0.747 0.996
0.251 0.247 0.499
0.749 0.753 0.501
0.751 0.253 0.004
0.000 0.500 0.500
0.001 0.692 0.945
0.003 0.052 0.308
0.196 0.497 0.693
0.244 0.552 0.049
0.246 0.192 0.690
0.254 0.944 0.945
0.256 0.304 0.308
0.304 0.997 0.300
0.497 0.804 0.049
0.499 0.444 0.690
0.500 0.000 0.500
0.501 0.556 0.310
0.503 0.196 0.951
0.696 0.003 0.700
0.744 0.696 0.692
0.746 0.056 0.055
0.754 0.808 0.310
0.756 0.448 0.951
0.804 0.503 0.307
0.997 0.948 0.692
0.999 0.308 0.055
```

Values from the calculation:
Its symmetry is Ibam (72). The value obtained for the total energy is -157.2 eV/cell.

# 14
VASP calculation (PBE+U) on a geometry-optimized TiFeF3 structure.

POSCAR file:
```
TiFeF3
1.0
4.098 0.000 0.000
0.000 4.098 0.000
0.000 0.000 4.098
Ti Fe F
1 1 3
Direct
0.000 0.000 0.000
0.500 0.500 0.500
0.000 0.500 0.500
0.500 0.000 0.500
0.500 0.500 0.000
```

Values from the calculation:
Its symmetry is Pm-3m (221). As for the distance to the lowest polymorph of the same formula: 813 meV per atom.

# 15
VASP calculation (PBE+U) on a geometry-optimized TiFe2F structure.

POSCAR file:
```
TiFe2F
1.0
-3.580 3.580 2.389
3.580 -3.580 2.389
3.580 3.580 -2.389
Ti Fe F
2 4 2
Direct
0.000 0.000 0.000
0.750 0.250 0.500
0.185 0.625 0.060
0.375 0.435 0.560
0.565 0.125 0.940
0.875 0.815 0.440
0.250 0.750 0.500
0.500 0.500 0.000
```

Values from the calculation:
Its symmetry is I-42d (122). As for the distance to the lowest polymorph of the same formula: 0 meV per atom.

# 16
VASP calculation (PBE+U) on a geometry-optimized TiFeF3 structure.

POSCAR file:
```
TiFeF3
1.0
4.119 0.000 0.000
0.000 4.119 0.000
0.000 0.000 4.119
Ti Fe F
1 1 3
Direct
0.000 0.000 0.000
0.500 0.500 0.500
0.000 0.000 0.500
0.000 0.500 0.000
0.500 0.000 0.000
```

Values from the calculation:
Its symmetry is Pm-3m (221). As for the distance to the lowest polymorph of the same formula: 0 meV per atom.

# 17
VASP calculation (PBE+U) on a geometry-optimized TiFeF5 structure.

POSCAR file:
```
TiFeF5
1.0
4.389 -3.219 0.000
4.389 3.219 0.000
-3.209 0.000 6.799
Ti Fe F
2 2 10
Direct
0.000 0.000 0.000
0.000 0.000 0.500
0.471 0.529 0.750
0.529 0.471 0.250
0.121 0.879 0.750
0.213 0.264 0.626
0.264 0.213 0.126
0.295 0.675 0.038
0.325 0.705 0.462
0.675 0.295 0.538
0.705 0.325 0.962
0.736 0.787 0.874
0.787 0.736 0.374
0.879 0.121 0.250
```

Values from the calculation:
Its symmetry is C2/c (15). The value obtained for the total energy is -86.5 eV/cell.

# 18
VASP calculation (PBE+U) on a geometry-optimized Ti2FeF structure.

POSCAR file:
```
Ti2FeF
1.0
0.000 2.960 2.960
2.960 0.000 2.960
2.960 2.960 0.000
Ti Fe F
2 1 1
Direct
0.250 0.250 0.250
0.750 0.750 0.750
0.000 0.000 0.000
0.500 0.500 0.500
```

Values from the calculation:
Its symmetry is Fm-3m (225). As for the distance to the lowest polymorph of the same formula: 304 meV per atom.

# 19
VASP calculation (PBE+U) on a geometry-optimized TiFe3F structure.

POSCAR file:
```
TiFe3F
1.0
4.928 0.000 0.000
0.000 4.928 0.000
0.000 0.000 4.928
Ti Fe F
1 3 1
Direct
0.000 0.000 0.000
0.000 0.000 0.500
0.000 0.500 0.000
0.500 0.000 0.000
0.500 0.500 0.500
```

Values from the calculation:
Its symmetry is Pm-3m (221). As for the distance to the lowest polymorph of the same formula: 1059 meV per atom.

# 20
VASP calculation (PBE+U) on a geometry-optimized TiFe2F structure.

POSCAR file:
```
TiFe2F
1.0
0.000 3.128 3.128
3.128 0.000 3.128
3.128 3.128 0.000
Ti Fe F
1 2 1
Direct
0.000 0.000 0.000
0.250 0.250 0.250
0.750 0.750 0.750
0.500 0.500 0.500
```

Values from the calculation:
Its symmetry is Fm-3m (225). As for the distance to the lowest polymorph of the same formula: 620 meV per atom.

# 21
VASP calculation (PBE+U) on a geometry-optimized Ti2FeF structure.

POSCAR file:
```
Ti2FeF
1.0
-2.908 2.908 3.251
2.908 -2.908 3.251
2.908 2.908 -3.251
Ti Fe F
4 2 2
Direct
0.091 0.125 0.466
0.375 0.909 0.034
0.659 0.625 0.534
0.875 0.341 0.966
0.250 0.750 0.500
0.500 0.500 0.000
0.000 0.000 0.000
0.750 0.250 0.500
```

Values from the calculation:
Its symmetry is I-42d (122). As for the distance to the lowest polymorph of the same formula: 0 meV per atom.

# 22
VASP calculation (PBE+U) on a geometry-optimized TiFe3F structure.

POSCAR file:
```
TiFe3F
1.0
4.344 0.000 0.000
0.000 4.344 0.000
0.000 0.000 4.344
Ti Fe F
1 3 1
Direct
0.000 0.000 0.000
0.000 0.500 0.500
0.500 0.000 0.500
0.500 0.500 0.000
0.500 0.500 0.500
```

Values from the calculation:
Its symmetry is Pm-3m (221). As for the distance to the lowest polymorph of the same formula: 0 meV per atom.

# 23
VASP calculation (PBE+U) on a geometry-optimized TiTlFeF6 structure.

POSCAR file:
```
TiTlFeF6
1.0
5.624 0.000 0.000
-2.812 4.871 0.000
0.000 0.000 11.740
Ti Tl Fe F
2 2 2 12
Direct
0.333 0.667 0.250
0.667 0.333 0.750
0.000 0.000 0.000
0.000 0.000 0.500
0.333 0.667 0.750
0.667 0.333 0.250
0.023 0.393 0.158
0.023 0.630 0.342
0.370 0.393 0.342
0.370 0.977 0.158
0.393 0.023 0.658
0.393 0.370 0.842
0.607 0.630 0.158
0.607 0.977 0.342
0.630 0.023 0.842
0.630 0.607 0.658
0.977 0.370 0.658
0.977 0.607 0.842
```

Values from the calculation:
Its symmetry is P-31c (163). The value obtained for the total energy is -100.7 eV/cell.

# 24
VASP calculation (PBE+U) on a geometry-optimized Ti2FeWF structure.

POSCAR file:
```
Ti2FeWF
1.0
4.564 0.000 0.000
0.000 4.564 0.000
0.000 0.000 4.857
Ti Fe W F
2 1 1 1
Direct
0.000 0.500 0.000
0.500 0.000 0.000
0.000 0.000 0.000
0.000 0.000 0.500
0.500 0.500 0.500
```

Values from the calculation:
Its symmetry is P4/mmm (123). The value obtained for the total energy is -25.0 eV/cell.

# 25
VASP calculation (PBE+U) on a geometry-optimized Tl3FeF structure.

POSCAR file:
```
Tl3FeF
1.0
5.329 0.000 0.000
0.000 5.329 0.000
0.000 0.000 5.329
Tl Fe F
3 1 1
Direct
0.000 0.000 0.500
0.000 0.500 0.000
0.500 0.000 0.000
0.000 0.000 0.000
0.500 0.500 0.500
```

Values from the calculation:
Its symmetry is Pm-3m (221). As for the distance to the lowest polymorph of the same formula: 0 meV per atom.